A geometry-optimized PmTmTcO6 structure. Source: the Alexandria database, functional GGA-PBE.

POSCAR file:
```
PmTmTcO6
1.0
-4.495 1.764 1.372
-1.842 -1.178 -4.519
-2.537 -9.117 3.411
Tc O Tm Pm
2 12 2 2
Direct
0.000 0.000 0.334
0.500 0.500 0.834
0.766 0.234 0.825
0.180 0.820 0.483
0.694 0.694 0.691
0.194 0.806 0.191
0.306 0.306 0.691
0.734 0.734 0.325
0.320 0.320 0.983
0.820 0.180 0.483
0.234 0.766 0.825
0.680 0.680 0.983
0.266 0.266 0.325
0.806 0.194 0.191
0.500 0.500 0.162
0.000 0.000 0.662
0.000 0.000 0.007
0.500 0.500 0.507
```

E_form (uncorrected): -2162 kJ/mol of formula units
symmetry: P4_2nm
total magnetization: 1.0 μB per formula unit